[1]
# ZnBi2P2O10 | Alexandria | PBE | optimized geometry
# Formation energy without anion corrections: -37.08 kcal/mol of atoms
# ρ: 5.25 Mg/m³
# Magnetic moment: 0.0 μB/cell
data_ZnBi2P2O10
_symmetry_space_group_name_H-M 'P 1'
_symmetry_Int_Tables_number 1
_symmetry_space_group_name_Hall 'P 1'
_cell_length_a 8.715
_cell_length_b 8.153
_cell_length_c 10.387
_cell_angle_alpha 54.48
_cell_angle_beta 49.59
_cell_angle_gamma 75.94
loop_
_atom_site_label
_atom_site_type_symbol
_atom_site_fract_x
_atom_site_fract_y
_atom_site_fract_z
Zn1 Zn 0.000 0.000 0.000
Zn2 Zn 0.250 0.250 0.250
Bi1 Bi 0.292 0.748 0.470
Bi2 Bi 0.748 0.292 0.490
Bi3 Bi 0.760 0.780 0.502
Bi4 Bi 0.780 0.760 0.958
P1 P 0.211 0.621 0.908
P2 P 0.342 0.990 0.039
P3 P 0.621 0.211 0.260
P4 P 0.990 0.342 0.629
O1 O 0.039 0.308 0.473
O2 O 0.070 0.777 0.942
O3 O 0.121 0.418 0.126
O4 O 0.124 0.915 0.129
O5 O 0.181 0.460 0.545
O6 O 0.192 0.578 0.791
O7 O 0.308 0.039 0.180
O8 O 0.418 0.121 0.335
O9 O 0.436 0.705 0.790
O10 O 0.459 0.811 0.058
O11 O 0.460 0.181 0.814
O12 O 0.578 0.192 0.439
O13 O 0.627 0.704 0.278
O14 O 0.704 0.627 0.391
O15 O 0.705 0.436 0.069
O16 O 0.777 0.070 0.211
O17 O 0.811 0.459 0.672
O18 O 0.859 0.972 0.546
O19 O 0.915 0.124 0.832
O20 O 0.972 0.859 0.623

***

[2]
# SmEu2Y | Alexandria | PBE | optimized geometry
# Excess energy over the best structure of this formula in the dataset: 65 meV per atom
# ρ: 6.22 Mg/m³
# Magnetic moment: 14.7 μB/cell
data_SmEu2Y
_symmetry_space_group_name_H-M 'P 1'
_symmetry_Int_Tables_number 1
_symmetry_space_group_name_Hall 'P 1'
_cell_length_a 5.929
_cell_length_b 5.929
_cell_length_c 4.127
_cell_angle_alpha 90.00
_cell_angle_beta 90.00
_cell_angle_gamma 90.00
loop_
_atom_site_label
_atom_site_type_symbol
_atom_site_fract_x
_atom_site_fract_y
_atom_site_fract_z
Sm1 Sm 0.000 0.000 0.000
Eu1 Eu 0.000 0.500 0.500
Eu2 Eu 0.500 0.000 0.500
Y1 Y 0.500 0.500 0.000

***

[3]
# Ho8Er2Ga | Alexandria | PBE | optimized geometry
# Raw total energy: -49.61 eV/f.u.
# ρ: 8.77 Mg/m³
# Magnetic moment: 0.0 μB/cell
data_Ho8Er2Ga
_symmetry_space_group_name_H-M 'P 1'
_symmetry_Int_Tables_number 1
_symmetry_space_group_name_Hall 'P 1'
_cell_length_a 9.875
_cell_length_b 9.875
_cell_length_c 6.339
_cell_angle_alpha 94.07
_cell_angle_beta 94.07
_cell_angle_gamma 31.95
loop_
_atom_site_label
_atom_site_type_symbol
_atom_site_fract_x
_atom_site_fract_y
_atom_site_fract_z
Ho1 Ho 0.042 0.042 0.256
Ho2 Ho 0.156 0.156 0.807
Ho3 Ho 0.344 0.344 0.877
Ho4 Ho 0.422 0.422 0.393
Ho5 Ho 0.578 0.578 0.607
Ho6 Ho 0.656 0.656 0.123
Ho7 Ho 0.844 0.844 0.193
Ho8 Ho 0.958 0.958 0.744
Er1 Er 0.242 0.242 0.332
Er2 Er 0.758 0.758 0.668
Ga1 Ga 0.500 0.500 0.000